Arrangement A

A plane-wave DFT calculation with PBE-GGA was carried out for crystalline LaDy2Sc at its relaxed geometry.

## Properties
- Magnetic moment: 0.000 μB/atom
- Crystal system: tetragonal
- Density of states at the Fermi level: 7.56 states/eV/cell
- Space-group type: P4/mmm (123)

Cell lengths 3.534, 3.534, 9.967 Å; angles 90.00, 90.00, 90.00 degrees
Atoms (fractional coordinates):
Sc: 0.500 0.500 0.000
Dy: 0.000 0.000 0.770
Dy: 0.000 0.000 0.230
La: 0.500 0.500 0.500



Arrangement B

A plane-wave DFT calculation with PBE-GGA was carried out for crystalline LaDy2Sc at its relaxed geometry.

## Properties
- Magnetic moment: 0.000 μB/atom
- Crystal system: monoclinic
- Density of states at the Fermi level: 5.24 states/eV/cell
- Space-group type: Cm (8)

Cell lengths 3.545, 6.071, 7.792 Å; angles 50.03, 103.12, 106.96 degrees
Atoms (fractional coordinates):
Sc: 0.726 0.059 0.768
Dy: 0.981 0.813 0.524
Dy: 0.226 0.558 0.271
La: 0.472 0.302 0.016



Arrangement C

A plane-wave DFT calculation with PBE-GGA was carried out for crystalline LaDy2Sc at its relaxed geometry.

## Properties
- Magnetic moment: 0.005 μB/atom
- Crystal system: cubic
- Density of states at the Fermi level: 9.53 states/eV/cell
- Space-group type: Fm-3m (225)

Cell lengths 5.621, 5.621, 5.621 Å; angles 60.00, 60.00, 60.00 degrees
Atoms (fractional coordinates):
La: 0.500 0.500 0.500
Dy: 0.750 0.750 0.750
Dy: 0.250 0.250 0.250
Sc: 0.000 0.000 0.000



arrangement B is the most stable structure; the next one sits 0.011 eV/atom above it.